First-principles (GGA-PBE) data for Pm3Pr2Nd after structural relaxation, as listed in Alexandria via LeMat-Bulk.

VASP energy = -4.590 eV per atom
Formation enthalpy at 0 K = 0.174 eV per atom
V = 34.747 Å³/atom
SG = Cmcm (63)
Magnetic moment = 0.000 μB/atom
Excess energy over the best structure of this formula in the dataset = 0.216 eV per formula unit

a b c (Å): 6.8620 7.7951 7.7951
angles (deg): 89.97 90.00 90.00
With the nearest neighbours (Å) after each atom.
Element x y z (fractional)
Pm1 0.0000 0.7497 0.2503  4 Pm 3.41-3.43, 4 Pr 3.42-3.43, 2 Nd 3.42
Pm2 0.2500 0.4040 0.4040  1 Nd 3.38, 4 Pm 3.41
Pm3 0.5000 0.7497 0.2503  4 Pm 3.41-3.43, 4 Pr 3.42-3.43, 2 Nd 3.42
Pm4 0.7500 0.5960 0.5960  1 Nd 3.38, 4 Pm 3.41
Pm5 0.0000 0.2503 0.7497  4 Pm 3.41-3.43, 4 Pr 3.42-3.43, 2 Nd 3.42
Pm6 0.5000 0.2503 0.7497  4 Pm 3.41-3.43, 4 Pr 3.42-3.43, 2 Nd 3.42
Nd1 0.7500 0.9023 0.9023  5 Pm 3.38-3.42
Nd2 0.2500 0.0977 0.0977  5 Pm 3.38-3.42
Pr1 0.2500 0.5987 0.9007  1 Pr 3.33, 4 Pm 3.42-3.43
Pr2 0.2500 0.9007 0.5987  1 Pr 3.33, 4 Pm 3.42-3.43
Pr3 0.7500 0.0993 0.4013  1 Pr 3.33, 4 Pm 3.42-3.43
Pr4 0.7500 0.4013 0.0993  1 Pr 3.33, 4 Pm 3.42-3.43